Below is a relaxed Cs3Li2GaMo4O16 crystal, with properties calculated at the PBE with a Hubbard U level.

Output
- Space group: I-42d, No. 122
- Energy: -6.3609 eV per atom

```
Cs3Li2GaMo4O16
1.0
10.860 0.021 0.000
-3.644 10.230 0.000
-3.608 -5.125 8.868
Cs Li Ga Mo O
6 4 2 8 32
Cartesian
-3.757 0.729 7.926
5.562 1.834 0.942
1.672 0.739 5.376
3.740 6.949 3.492
-1.822 5.115 4.434
0.000 0.000 0.000
1.798 4.484 5.545
-3.632 4.473 7.757
-3.637 8.309 3.323
-1.815 3.194 1.111
5.430 0.010 4.434
3.608 5.125 0.000
4.300 -2.529 6.623
-2.070 0.960 3.896
6.968 6.095 0.538
-0.224 8.321 2.245
5.210 3.500 4.972
-0.220 3.490 8.330
-1.130 -2.540 6.679
1.598 3.205 2.189
-1.671 4.345 7.746
-0.569 -3.883 7.706
-0.577 -0.868 7.350
4.788 1.736 4.462
-2.886 -2.578 6.656
0.333 6.654 2.222
-1.451 1.798 5.311
-0.642 1.726 8.841
1.966 -1.836 3.271
-0.622 8.768 0.567
6.575 7.321 1.770
4.856 -2.754 8.301
5.790 4.366 3.558
3.759 4.355 5.556
4.853 -0.857 5.952
3.979 1.809 7.992
-0.574 -2.764 5.001
1.066 3.534 7.098
2.155 1.539 2.212
1.199 3.653 3.867
1.217 6.357 5.597
4.808 -0.825 2.916
-0.776 -0.118 3.312
-4.364 3.524 6.204
2.543 -2.567 6.647
5.449 5.103 0.028
8.262 5.018 1.122
8.397 2.206 2.664
7.271 -0.012 4.407
2.986 4.290 1.518
0.144 3.280 1.163
3.969 9.481 0.877
```